A plane-wave DFT calculation with GGA-PBE was carried out for crystalline InHgRu2 at its relaxed geometry.

Cell and atoms, written as POSCAR:
```
InHgRu2
1.0
-3.276 3.091 -7.890
-0.565 2.193 -8.798
-2.818 0.224 -8.634
Ru Hg In
2 1 1
Direct
0.498 0.498 0.498 Ru
0.002 0.002 0.002 Ru
0.250 0.250 0.250 Hg
0.750 0.750 0.750 In
```

- E above lowest polymorph (meV per atom) = 232
- E_form (eV per atom) = 0.46
- total magnetization (μB/f.u.) = 0.1

A plane-wave DFT calculation with GGA-PBE was carried out for crystalline InHg7Pb2 at its relaxed geometry.

Cell and atoms, written as POSCAR:
```
InHg7Pb2
1.0
-0.085 1.807 2.760
-0.708 -5.083 3.309
13.976 1.403 -0.489
Pb Hg In
2 7 1
Direct
0.500 0.299 0.598 Pb
0.500 0.701 0.402 Pb
0.000 0.192 0.384 Hg
0.500 0.656 0.805 Hg
0.500 0.851 0.195 Hg
0.500 0.344 0.195 Hg
0.500 0.500 0.000 Hg
0.000 0.808 0.616 Hg
0.500 0.149 0.805 Hg
0.000 0.000 0.000 In
```

- E_form (eV per atom) = 0.05
- total magnetization (μB/f.u.) = 0.0

A plane-wave DFT calculation with GGA-PBE was carried out for crystalline NaLiDyPb at its relaxed geometry.

Cell and atoms, written as POSCAR:
```
NaLiDyPb
1.0
5.268 0.000 0.000
2.634 4.562 0.000
2.634 1.521 4.301
Li Na Pb Dy
1 1 1 1
Direct
0.250 0.250 0.250 Li
0.000 0.000 0.000 Na
0.750 0.750 0.750 Pb
0.500 0.500 0.500 Dy
```

- E_form (eV per atom) = -0.17
- total magnetization (μB/f.u.) = 0.0

A plane-wave DFT calculation with GGA-PBE was carried out for crystalline ScTaAs2 at its relaxed geometry.

Cell and atoms, written as POSCAR:
```
ScTaAs2
1.0
2.899 0.000 0.000
0.000 2.899 0.000
0.000 0.000 10.203
As Sc Ta
2 1 1
Direct
0.000 0.000 0.941 As
0.500 0.500 0.306 As
0.000 0.000 0.510 Sc
0.500 0.500 0.743 Ta
```

- E above lowest polymorph (meV per atom) = 705
- E_form (eV per atom) = -0.17
- total magnetization (μB/f.u.) = 0.0

A plane-wave DFT calculation with GGA-PBE was carried out for crystalline AuI at its relaxed geometry.

Cell and atoms, written as POSCAR:
```
AuI
1.0
-3.788 6.257 -4.778
-1.293 -2.791 -2.630
-5.193 -3.424 6.186
Au I
4 4
Direct
0.401 0.500 0.758 Au
0.401 0.000 0.258 Au
0.599 0.000 0.742 Au
0.599 0.500 0.242 Au
0.796 0.000 0.224 I
0.796 0.500 0.724 I
0.204 0.500 0.276 I
0.204 0.000 0.776 I
```

- formation energy (no corrections) (eV/atom) = 0.03
- total magnetization (μB/f.u.) = 0.0

A plane-wave DFT calculation with GGA-PBE was carried out for crystalline La8PrEr4 at its relaxed geometry.

Cell and atoms, written as POSCAR:
```
La8PrEr4
1.0
9.945 -0.001 -5.366
-6.420 9.300 -0.001
-2.420 -1.670 7.414
Er La Pr
4 8 1
Direct
0.500 0.000 0.000 Er
0.500 0.500 0.000 Er
0.000 0.000 0.000 Er
0.000 0.500 0.000 Er
0.526 0.763 0.765 La
0.474 0.237 0.235 La
0.475 0.238 0.713 La
0.525 0.762 0.287 La
0.998 0.761 0.235 La
0.998 0.237 0.235 La
0.002 0.239 0.765 La
0.002 0.763 0.765 La
0.000 0.500 0.500 Pr
```

- E_form (eV per atom) = 0.42
- total magnetization (μB/f.u.) = 0.0

A plane-wave DFT calculation with GGA-PBE was carried out for crystalline ErGaCuPt at its relaxed geometry.

Cell and atoms, written as POSCAR:
```
ErGaCuPt
1.0
4.621 0.000 0.000
2.311 4.002 0.000
2.311 1.334 3.773
Pt Ga Cu Er
1 1 1 1
Direct
0.500 0.500 0.500 Pt
0.750 0.750 0.750 Ga
0.000 0.000 0.000 Cu
0.250 0.250 0.250 Er
```

- E_form (eV per atom) = -0.66
- total magnetization (μB/f.u.) = 0.0

A plane-wave DFT calculation with GGA-PBE was carried out for crystalline NaHfTl at its relaxed geometry.

Cell and atoms, written as POSCAR:
```
NaHfTl
1.0
-2.060 -8.593 -13.507
2.381 -2.135 0.975
-3.195 -0.519 0.837
Hf Tl Na
2 2 2
Direct
0.089 0.728 0.272 Hf
0.943 0.399 0.601 Hf
0.251 0.054 0.946 Tl
0.780 0.725 0.275 Tl
0.611 0.399 0.601 Na
0.419 0.723 0.277 Na
```

- E above lowest polymorph (meV per atom) = 46
- E_form (eV per atom) = 0.04
- total magnetization (μB/f.u.) = 0.0